1.
A relaxed structure of Sr2YAg, computed with PBE-GGA.

abc: 6.605 6.605 6.605
angles: 135.54 135.54 64.69
Atoms (fractional coordinates):
Y 0.250 0.750 0.500
Sr 0.000 0.000 0.000
Sr 0.500 0.500 0.000
Ag 0.750 0.250 0.500

Output
E_tot = -11.9 eV per cell
Total magnetization = 0.00 μB per formula unit
DFT formation energy = 0.19 eV per atom
Energy above the most stable polymorph in this dataset = 273 meV per atom


2.
A relaxed structure of AlSiCF2, computed with PBE-GGA.

abc: 3.827 3.787 3.827
angles: 90.00 90.00 90.00
Atoms (fractional coordinates):
Si 0.000 0.000 0.000
F 0.500 0.000 0.000
F 0.000 0.000 0.500
C 0.000 0.500 0.000
Al 0.500 0.500 0.500

Output
Raw formation energy = -0.51 eV per atom
E_tot = -24.7 eV per cell
Total magnetization = 0.00 μB per formula unit


3.
A relaxed structure of Ga3CuAu, computed with PBE-GGA.

abc: 9.562 9.562 9.562
angles: 155.84 86.85 98.20
Atoms (fractional coordinates):
Au 0.183 0.158 0.025
Au 0.817 0.842 0.975
Au 0.368 0.842 0.525
Au 0.632 0.158 0.475
Ga 0.499 0.342 0.157
Ga 0.113 0.985 0.128
Ga 0.501 0.658 0.843
Ga 0.357 0.985 0.372
Ga 0.887 0.015 0.872
Ga 0.643 0.015 0.628
Ga 0.782 0.668 0.114
Ga 0.685 0.342 0.343
Ga 0.947 0.332 0.614
Ga 0.053 0.668 0.386
Ga 0.315 0.658 0.657
Ga 0.218 0.332 0.886
Cu 0.933 0.183 0.750
Cu 0.223 0.473 0.750
Cu 0.067 0.817 0.250
Cu 0.777 0.527 0.250

Output
E_tot = -67.6 eV per cell
Total magnetization = 0.00 μB per formula unit
DFT formation energy = -0.09 eV per atom
Energy above the most stable polymorph in this dataset = 0 meV per atom


4.
A relaxed structure of LiIN, computed with PBE-GGA.

abc: 8.371 8.423 5.852
angles: 90.00 135.67 90.00
Last column: magnetic moment on the atom in μB.
Atoms (fractional coordinates):
I 0.241 0.000 0.983  0.37
I 0.259 0.500 0.017  0.37
I 0.741 0.500 0.983  0.37
I 0.759 0.000 0.017  0.37
N 0.806 0.183 0.500  1.62
N 0.306 0.317 0.500  1.62
N 0.194 0.817 0.500  1.62
N 0.694 0.683 0.500  1.62
Li 0.997 0.250 0.000  0.03
Li 0.003 0.750 0.000  0.03
Li 0.503 0.750 0.000  0.03
Li 0.497 0.250 0.000  0.03

Output
Raw formation energy = 0.89 eV per atom
E_tot = -36.5 eV per cell
Total magnetization = 3.00 μB per formula unit
Energy above the most stable polymorph in this dataset = 460 meV per atom


5.
A relaxed structure of CaFe2Pt2, computed with PBE-GGA.

abc: 4.327 4.327 5.731
angles: 67.82 67.82 90.00
Last column: magnetic moment on the atom in μB.
Atoms (fractional coordinates):
Fe 0.618 0.618 0.764  2.77
Fe 0.382 0.382 0.236  2.77
Ca 0.000 0.000 0.000  -0.04
Pt 0.750 0.250 0.500  0.33
Pt 0.250 0.750 0.500  0.33

Output
E_tot = -32.0 eV per cell
Total magnetization = 6.12 μB per formula unit
DFT formation energy = -0.19 eV per atom


6.
A relaxed structure of GdSc2Os, computed with PBE-GGA.

abc: 3.254 3.254 8.621
angles: 90.00 90.00 90.00
Last column: magnetic moment on the atom in μB.
Atoms (fractional coordinates):
Os 0.500 0.500 0.000  -0.01
Sc 0.000 0.000 0.178  0.00
Sc 0.000 0.000 0.822  0.00
Gd 0.500 0.500 0.500  7.23

Output
E_tot = -39.0 eV per cell
Total magnetization = 7.46 μB per formula unit
DFT formation energy = -0.25 eV per atom
Energy above the most stable polymorph in this dataset = 0 meV per atom


What is the formula in the fourth record?
LiIN